# 1
Computed, not measured: a geometry-optimized Pu4Pd3Pt structure at the PBE-GGA level of DFT.

Cell and atoms, written as POSCAR:
```
Pu4Pd3Pt
1.0
5.742 0.000 -2.030
-2.871 4.973 -2.030
0.000 0.000 6.091
Pu Pd Pt
4 3 1
direct
0.500 0.000 0.000
0.000 0.000 0.500
0.000 0.500 0.000
0.500 0.500 0.500
0.000 0.500 0.500
0.500 0.000 0.500
0.500 0.500 0.000
0.000 0.000 0.000
```

Output
magnetic moment: 22.526 μB per formula unit
E: -10.359 eV per atom
crystal system: cubic
formation enthalpy at 0 K: -0.49 eV/atom
symmetry: Im-3m, No. 229

# 2
Computed, not measured: a geometry-optimized TaH3Pt structure at the PBE-GGA level of DFT.

Cell and atoms, written as POSCAR:
```
TaH3Pt
1.0
-0.678 -2.624 -2.242
3.371 -0.013 -1.004
0.741 -2.342 2.517
H Ta Pt
3 1 1
direct
0.500 0.000 0.000
0.000 0.500 0.000
0.000 0.000 0.500
0.500 0.500 0.500
0.000 0.000 0.000
```

Output
magnetic moment: 0.000 μB per formula unit
E: -5.325 eV per atom
crystal system: cubic
symmetry: Pm-3m, No. 221

# 3
Computed, not measured: a geometry-optimized Al2SiNi structure at the PBE-GGA level of DFT.

Cell and atoms, written as POSCAR:
```
Al2SiNi
1.0
-1.177 -2.894 2.285
-1.436 -1.849 -3.082
5.932 -6.177 -1.490
Ni Al Si
2 4 2
direct
0.000 0.000 0.000
0.750 0.250 0.500
0.875 0.892 0.750
0.642 0.125 0.250
0.108 0.625 0.250
0.375 0.358 0.750
0.500 0.500 0.000
0.250 0.750 0.500
```

Output
magnetic moment: 0.000 μB per formula unit
energy above the lowest structure with this stoichiometry: 346 meV per atom
E: -4.639 eV per atom
crystal system: tetragonal
symmetry: I-42d, No. 122